{
  "formula": "Zr4W2S3N3",
  "functional": "PBE-GGA",
  "state": "optimized geometry",
  "lattice_angstrom": [[4.984, -2.890, 0.000], [4.984, 2.890, 0.000], [-3.027, 0.000, 11.950]],
  "species": ["N", "N", "N", "N", "N", "N", "S", "S", "S", "S", "S", "S", "W", "W", "W", "W", "Zr", "Zr", "Zr", "Zr", "Zr", "Zr", "Zr", "Zr"],
  "frac_coords": [[0.000, 0.500, 0.000], [0.327, 0.848, 0.001], [0.152, 0.673, 0.499], [0.500, 0.000, 0.500], [0.848, 0.327, 0.501], [0.673, 0.152, 0.999], [0.421, 0.263, 0.242], [0.112, 0.888, 0.250], [0.737, 0.579, 0.258], [0.263, 0.421, 0.742], [0.888, 0.112, 0.750], [0.579, 0.737, 0.758], [0.420, 0.527, 0.098], [0.473, 0.580, 0.402], [0.527, 0.420, 0.598], [0.580, 0.473, 0.902], [0.703, 0.844, 0.100], [0.013, 0.220, 0.100], [0.780, 0.987, 0.400], [0.156, 0.297, 0.400], [0.844, 0.703, 0.600], [0.220, 0.013, 0.600], [0.987, 0.780, 0.900], [0.297, 0.156, 0.900]],
  "dft_energy_ev_per_atom": -9.131,
  "magmom_total_mub_per_fu": 0.003
}